(1)
First-principles (PBE) data for a relaxed structure of Ca2LaSc, as listed in Alexandria.

## Properties
- E above lowest polymorph: 92 meV/atom
- SG: No. 47
- Spin magnetization: 0.0 μB per formula unit
- E_form: 0.1749 eV per atom

Cell lengths 4.0438, 5.7850, 5.9747 Å; angles 90.00, 90.00, 90.00 degrees
Atoms (fractional coordinates):
Ca1 0.5000 0.5000 0.0000
Ca2 0.0000 0.0000 0.0000
Sc1 0.0000 0.5000 0.5000
La1 0.5000 0.0000 0.5000

(2)
First-principles (PBE) data for a relaxed structure of CdRhPb4, as listed in Alexandria.

## Properties
- E above lowest polymorph: 588 meV/atom
- SG: No. 216
- Spin magnetization: 0.0 μB per formula unit
- E_form: 0.5670 eV per atom

Cell lengths 6.2818, 6.2818, 6.2818 Å; angles 60.00, 60.00, 60.00 degrees
Atoms (fractional coordinates):
Pb1 0.3757 0.8728 0.3757
Pb2 0.3757 0.3757 0.8728
Pb3 0.8728 0.3757 0.3757
Pb4 0.3757 0.3757 0.3757
Rh1 0.7500 0.7500 0.7500
Cd1 0.0000 0.0000 0.0000

(3)
First-principles (PBE) data for a relaxed structure of CaIr2, as listed in Alexandria.

## Properties
- SG: No. 139
- Spin magnetization: 0.0 μB per formula unit
- E_form: -0.0114 eV per atom

Cell lengths 6.7424, 6.7424, 6.7424 Å; angles 155.37, 155.37, 35.12 degrees
Atoms (fractional coordinates):
Ca1 0.0000 0.0000 0.0000
Ir1 0.3158 0.3158 0.0000
Ir2 0.6842 0.6842 0.0000

(4)
First-principles (PBE) data for a relaxed structure of Y2TmPu, as listed in Alexandria.

## Properties
- E above lowest polymorph: 14 meV/atom
- SG: No. 123
- Spin magnetization: 6.1 μB per formula unit
- E_form: 0.1101 eV per atom

Cell lengths 3.4940, 3.4940, 10.0215 Å; angles 90.00, 90.00, 90.00 degrees
Site moments in Bohr magnetons follow the coordinates.
Atoms (fractional coordinates):
Y1 0.0000 0.0000 0.7470  0.07
Y2 0.0000 0.0000 0.2530  0.07
Pu1 0.5000 0.5000 0.5000  5.59
Tm1 0.5000 0.5000 0.0000  -0.18

(5)
First-principles (PBE) data for a relaxed structure of CaDy2Co9, as listed in Alexandria.

## Properties
- SG: No. 166
- Spin magnetization: 11.5 μB per formula unit
- E_form: -0.0864 eV per atom

Cell lengths 5.0220, 5.0220, 8.5385 Å; angles 72.90, 72.90, 60.00 degrees
Site moments in Bohr magnetons follow the coordinates.
Atoms (fractional coordinates):
Co1 0.4165 0.9217 0.2454  1.36
Co2 0.0783 0.5835 0.7546  1.36
Co3 0.5835 0.0783 0.7546  1.36
Co4 0.9217 0.4165 0.2454  1.36
Co5 0.3350 0.3350 0.9951  1.65
Co6 0.6650 0.6650 0.0049  1.65
Co7 0.5835 0.5835 0.7546  1.36
Co8 0.4165 0.4165 0.2454  1.36
Co9 0.5000 0.5000 0.5000  1.33
Dy1 0.8608 0.8608 0.4175  -0.42
Dy2 0.1392 0.1392 0.5825  -0.42
Ca1 0.0000 0.0000 0.0000  -0.08

(6)
First-principles (PBE) data for a relaxed structure of Tb4SbAs2S, as listed in Alexandria.

## Properties
- SG: No. 10
- Spin magnetization: 0.0 μB per formula unit
- Formation energy without anion corrections: -1553 meV/atom

Cell lengths 4.1616, 7.2195, 7.2071 Å; angles 70.65, 90.00, 90.00 degrees
Atoms (fractional coordinates):
As1 0.5000 0.0000 0.5000
As2 0.0000 0.0000 0.0000
Tb1 0.5000 0.2383 0.7615
Tb2 0.0000 0.7572 0.7542
Tb3 0.0000 0.2428 0.2458
Tb4 0.5000 0.7617 0.2385
Sb1 0.0000 0.5000 0.5000
S1 0.5000 0.5000 0.0000

(7)
First-principles (PBE) data for a relaxed structure of SrCd2Ru, as listed in Alexandria.

## Properties
- SG: No. 71
- Spin magnetization: 0.0 μB per formula unit
- E_form: 0.1651 eV per atom

Cell lengths 6.0339, 6.0339, 5.0553 Å; angles 65.25, 65.25, 34.38 degrees
Atoms (fractional coordinates):
Ru1 0.7500 0.7500 0.7500
Cd1 0.4592 0.4592 0.5408
Cd2 0.0408 0.0408 0.9592
Sr1 0.2500 0.2500 0.2500

(8)
First-principles (PBE) data for a relaxed structure of RbHg2I, as listed in Alexandria.

## Properties
- E above lowest polymorph: 29 meV/atom
- SG: No. 11
- Spin magnetization: 0.0 μB per formula unit
- Formation energy without anion corrections: -676 meV/atom

Cell lengths 7.2227, 5.5047, 8.8043 Å; angles 90.00, 84.02, 90.00 degrees
Atoms (fractional coordinates):
Hg1 0.8721 0.0000 0.0406
Hg2 0.6110 0.5000 0.1835
Hg3 0.3591 0.0000 0.0370
Hg4 0.0980 0.5000 0.1795
Rb1 0.2471 0.0000 0.4804
Rb2 0.7218 0.5000 0.7402
I1 0.7478 0.0000 0.4712
I2 0.2211 0.5000 0.7494

(9)
First-principles (PBE) data for a relaxed structure of RbTe2PRh, as listed in Alexandria.

## Properties
- SG: No. 123
- Spin magnetization: 2.2 μB per formula unit
- Formation energy without anion corrections: 1927 meV/atom

Cell lengths 6.2167, 4.9416, 6.2167 Å; angles 90.00, 90.00, 90.00 degrees
Site moments in Bohr magnetons follow the coordinates.
Atoms (fractional coordinates):
P1 0.5000 0.5000 0.5000  0.10
Te1 0.0000 0.0000 0.5000  0.27
Te2 0.5000 0.0000 0.0000  0.20
Rh1 0.0000 0.5000 0.0000  1.03
Rb1 0.0000 0.0000 0.0000  0.03

(10)
First-principles (PBE) data for a relaxed structure of LiMg2Tc, as listed in Alexandria.

## Properties
- E above lowest polymorph: 10 meV/atom
- SG: No. 166
- Spin magnetization: 0.0 μB per formula unit
- E_form: 0.1697 eV per atom

Cell lengths 9.8418, 9.8418, 9.8418 Å; angles 16.90, 16.90, 16.90 degrees
Atoms (fractional coordinates):
Mg1 0.9961 0.9961 0.9961
Mg2 0.5039 0.5039 0.5039
Tc1 0.2500 0.2500 0.2500
Li1 0.7500 0.7500 0.7500

(11)
First-principles (PBE) data for a relaxed structure of Na4Pu3CoSe8, as listed in Alexandria.

## Properties
- SG: No. 166
- Spin magnetization: 16.1 μB per formula unit
- Formation energy without anion corrections: -1127 meV/atom

Cell lengths 8.1877, 8.3849, 8.1888 Å; angles 119.23, 120.00, 90.00 degrees
Site moments in Bohr magnetons follow the coordinates.
Atoms (fractional coordinates):
Na1 0.5000 0.0000 0.0000  0.01
Na2 0.5000 0.0000 0.5000  0.00
Na3 0.0000 0.0000 0.5000  0.00
Na4 0.0000 0.0000 0.0000  0.00
Pu1 0.5000 0.5000 0.5000  4.95
Pu2 0.0000 0.5000 0.5000  4.95
Pu3 0.5000 0.5000 0.0000  4.95
Se1 0.2431 0.2816 0.0124  -0.10
Se2 0.7444 0.7334 0.4888  -0.12
Se3 0.2308 0.7185 0.4615  -0.10
Se4 0.7692 0.2815 0.5385  -0.10
Se5 0.7693 0.2816 0.0124  -0.10
Se6 0.2556 0.2666 0.5112  -0.12
Se7 0.7569 0.7184 0.9876  -0.10
Se8 0.2307 0.7184 0.9876  -0.10
Co1 0.0000 0.5000 0.0000  1.93

(12)
First-principles (PBE) data for a relaxed structure of CsSbO3, as listed in Alexandria.

## Properties
- SG: No. 221
- Spin magnetization: 0.0 μB per formula unit
- Formation energy without anion corrections: 761 meV/atom

Cell lengths 4.4848, 4.4848, 4.4848 Å; angles 90.00, 90.00, 90.00 degrees
Atoms (fractional coordinates):
Cs1 0.0000 0.0000 0.0000
Sb1 0.5000 0.5000 0.5000
O1 0.0000 0.5000 0.0000
O2 0.0000 0.0000 0.5000
O3 0.5000 0.0000 0.0000

no.,DOS(E_F) (states/eV/f.u.)
1,6.9
2,4.2
3,2.4
4,10.2
5,16.7
6,1.4
7,3.2
8,0.0
9,9.5
10,2.4
11,31.7
12,2.2